# 1
Compound: Pr2MgCu9
Source: Alexandria via LeMat-Bulk
Functional: GGA-PBE
Structure: optimized geometry

Output
- E_form (eV/f.u.) = -0.9

Cell lengths 8.991, 8.991, 8.991 Å; angles 33.25, 33.25, 33.25 degrees
Positions (direct):
1 Pr 0.136 0.136 0.136
2 Pr 0.864 0.864 0.864
3 Mg 0.000 0.000 0.000
4 Cu 0.080 0.578 0.578
5 Cu 0.333 0.333 0.333
6 Cu 0.422 0.422 0.920
7 Cu 0.422 0.920 0.422
8 Cu 0.500 0.500 0.500
9 Cu 0.578 0.080 0.578
10 Cu 0.578 0.578 0.080
11 Cu 0.667 0.667 0.667
12 Cu 0.920 0.422 0.422

***

# 2
Compound: Pr3Mg5Cu2
Source: Alexandria via LeMat-Bulk
Functional: GGA-PBE
Structure: optimized geometry

Output
- E_form (eV/f.u.) = -0.4
- E above lowest polymorph (meV per atom) = 103

Cell lengths 9.659, 9.659, 9.659 Å; angles 112.09, 80.67, 141.81 degrees
Positions (direct):
1 Pr 0.171 0.213 0.385
2 Pr 0.250 0.250 0.000
3 Pr 0.329 0.713 0.042
4 Pr 0.671 0.287 0.958
5 Pr 0.750 0.750 0.000
6 Pr 0.829 0.787 0.615
7 Mg 0.055 0.750 0.305
8 Mg 0.071 0.717 0.789
9 Mg 0.250 0.750 0.500
10 Mg 0.429 0.217 0.646
11 Mg 0.445 0.750 0.695
12 Mg 0.555 0.250 0.305
13 Mg 0.571 0.783 0.354
14 Mg 0.750 0.250 0.500
15 Mg 0.929 0.283 0.211
16 Mg 0.945 0.250 0.695
17 Cu 0.173 0.916 0.089
18 Cu 0.327 0.416 0.743
19 Cu 0.673 0.584 0.257
20 Cu 0.827 0.084 0.911